{
  "formula": "Na3Sc2PaS6",
  "functional": "PBE",
  "state": "optimized geometry",
  "dos_ef_per_ev_cell": 6.91,
  "space_group": "C2/m",
  "lattice": [[6.639, -0.002, 0.000], [-3.319, 5.749, 0.000], [-1.107, -1.917, 6.704]],
  "species": ["S", "S", "S", "S", "S", "S", "Sc", "Sc", "Na", "Na", "Na", "Pa"],
  "frac_coords": [[0.074, 0.416, 0.223], [0.733, 0.733, 0.223], [0.416, 0.074, 0.223], [0.267, 0.267, 0.777], [0.584, 0.926, 0.777], [0.926, 0.584, 0.777], [0.333, 0.667, 0.000], [0.667, 0.333, 0.000], [0.834, 0.166, 0.500], [0.166, 0.834, 0.500], [0.500, 0.500, 0.500], [0.000, 0.000, 0.000]]
}

=====

{
  "formula": "Na3ScPa3S8",
  "functional": "PBE",
  "state": "optimized geometry",
  "dos_ef_per_ev_cell": 14.89,
  "space_group": "R-3m",
  "lattice": [[-3.299, 7.048, 0.531], [0.101, -4.735, 6.198], [7.050, 3.478, -2.368]],
  "species": ["S", "S", "S", "S", "S", "S", "S", "S", "Na", "Na", "Na", "Sc", "Pa", "Pa", "Pa"],
  "frac_coords": [[0.746, 0.492, 0.738], [0.767, 0.534, 0.281], [0.767, 0.014, 0.281], [0.254, 0.508, 0.262], [0.753, 0.986, 0.719], [0.233, 0.466, 0.719], [0.233, 0.986, 0.719], [0.247, 0.014, 0.281], [0.500, 0.500, 0.000], [0.000, 0.500, 0.000], [0.000, 0.000, 0.000], [0.000, 0.000, 0.500], [0.000, 0.500, 0.500], [0.500, 0.000, 0.500], [0.500, 0.500, 0.500]]
}

=====

{
  "formula": "NaPaSe2S",
  "functional": "PBE",
  "state": "optimized geometry",
  "space_group": "Cmcm",
  "lattice": [[-0.296, 3.599, -2.067], [2.210, -4.760, -4.418], [-9.463, -2.161, -2.406]],
  "species": ["S", "S", "Se", "Se", "Se", "Se", "Na", "Na", "Pa", "Pa"],
  "frac_coords": [[0.933, 0.866, 0.750], [0.067, 0.134, 0.250], [0.633, 0.266, 0.937], [0.367, 0.734, 0.063], [0.633, 0.266, 0.563], [0.367, 0.734, 0.437], [0.722, 0.444, 0.250], [0.278, 0.556, 0.750], [0.000, 0.000, 0.500], [0.000, 0.000, 0.000]]
}

=====

{
  "formula": "Na2PaSiS6",
  "functional": "PBE",
  "state": "optimized geometry",
  "dos_ef_per_ev_cell": 5.93,
  "space_group": "R3",
  "lattice": [[6.761, 0.001, 0.000], [3.381, 5.855, 0.000], [3.380, 1.952, 5.634]],
  "species": ["Na", "Na", "S", "S", "S", "S", "S", "S", "Si", "Pa"],
  "frac_coords": [[0.054, 0.053, 0.840], [0.553, 0.553, 0.341], [0.553, 0.153, 0.276], [0.089, 0.484, 0.807], [0.485, 0.620, 0.807], [0.018, 0.554, 0.275], [0.620, 0.088, 0.808], [0.153, 0.018, 0.276], [0.319, 0.319, 0.044], [0.819, 0.819, 0.544]]
}

=====

{
  "formula": "NaPa2SiS8",
  "functional": "PBE",
  "state": "optimized geometry",
  "dos_ef_per_ev_cell": 5.36,
  "space_group": "P2/m",
  "lattice": [[5.985, 0.139, -0.004], [0.203, 5.982, -0.007], [0.005, 0.009, 8.174]],
  "species": ["Pa", "Pa", "S", "S", "S", "S", "S", "S", "S", "S", "Na", "Si"],
  "frac_coords": [[0.500, 0.500, 0.752], [0.500, 0.500, 0.248], [0.683, 0.687, 0.500], [0.185, 0.814, 0.203], [0.706, 0.708, 0.000], [0.294, 0.292, 0.000], [0.317, 0.313, 0.500], [0.815, 0.186, 0.203], [0.815, 0.186, 0.797], [0.185, 0.814, 0.797], [0.000, 0.000, 0.500], [0.000, 0.000, 0.000]]
}

=====

{
  "formula": "Na2Sm2PaS6",
  "functional": "PBE",
  "state": "optimized geometry",
  "dos_ef_per_ev_cell": 2.34,
  "space_group": "C2/m",
  "lattice": [[-4.255, 4.730, -2.983], [3.819, -4.280, -4.058], [-4.863, -4.638, 2.352]],
  "species": ["S", "S", "S", "S", "S", "S", "Sm", "Sm", "Na", "Na", "Pa"],
  "frac_coords": [[0.930, 0.602, 0.277], [0.756, 0.756, 0.723], [0.602, 0.930, 0.277], [0.070, 0.398, 0.723], [0.398, 0.070, 0.723], [0.244, 0.244, 0.277], [0.335, 0.665, 0.500], [0.665, 0.335, 0.500], [0.831, 0.169, 0.000], [0.169, 0.831, 0.000], [0.000, 0.000, 0.500]]
}

=====

no.,ρ (g/cm3),electronic total energy (eV per atom)
1,3.78,-5.87
2,4.88,-6.33
3,5.42,-5.73
4,3.70,-5.13
5,4.37,-5.87
6,4.43,-5.95